(1)
## ZnPBr2 (PBE-GGA)

Data for a geometry-optimized ZnPBr2 structure.

Values from the calculation:
**Energy relative to the elements, uncorrected**: -163 meV per atom
**Polymorph energy (0 for the lowest one)**: 104 meV/atom
**Total magnetization**: 0.000 μB/cell

Cell: 3.560 3.560 8.371 Å, 90.00 90.00 90.00°
Space group P4mm (No. 99)
Unique sites:
1 Zn 0.000 0.000 0.000 (multiplicity 1)
2 P 0.500 0.500 0.084 (multiplicity 1)
3 Br 0.000 0.000 0.722 (multiplicity 1)
4 Br 0.500 0.500 0.348 (multiplicity 1)

***

(2)
## RbSbCl2 (PBE-GGA)

Data for a geometry-optimized RbSbCl2 structure.

Values from the calculation:
**Energy relative to the elements, uncorrected**: -957 meV per atom
**Polymorph energy (0 for the lowest one)**: 0 meV/atom
**Total magnetization**: 0.000 μB/cell

Cell: 3.9898 3.9898 28.9850 Å, 90.00 90.00 120.00°
Space group R-3m (No. 166, hexagonal axes)
Unique sites:
1 Rb 0.0000 0.0000 0.0000 (multiplicity 3)
2 Sb 0.0000 0.0000 0.5000 (multiplicity 3)
3 Cl 0.0000 0.0000 0.4086 (multiplicity 6)

***

(3)
## Er12H3O5 (PBE-GGA)

Data for a geometry-optimized Er12H3O5 structure.

Values from the calculation:
**Total magnetization**: 0.005 μB/cell
**VASP energy**: -5.752 eV/atom

Cell: 14.718 14.718 14.718 Å, 90.00 90.00 90.00°
Space group Ia-3d (No. 230)
Unique sites:
1 Er 0.036 0.058 0.650 (multiplicity 96)
2 H 0.000 0.250 0.125 (multiplicity 24)
3 O 0.000 0.000 0.000 (multiplicity 16)
4 O 0.000 0.250 0.375 (multiplicity 24)

***

(4)
## ErAl3Fe (PBE-GGA)

Data for a geometry-optimized ErAl3Fe structure.

Values from the calculation:
**Polymorph energy (0 for the lowest one)**: 387 meV/atom
**Total magnetization**: 0.000 μB/cell

Cell: 7.073 10.994 4.964 Å, 90.00 90.00 90.00°
Space group Cmcm (No. 63)
Unique sites:
1 Er 0.000 0.091 0.250 (multiplicity 4)
2 Al 0.000 0.500 0.000 (multiplicity 4)
3 Al 0.172 0.231 0.750 (multiplicity 8)
4 Fe 0.000 0.318 0.250 (multiplicity 4)